Record 1
This record from Alexandria via LeMat-Bulk describes crystalline Cd2BOsCl at its relaxed geometry. The functional is PBE.

Unit cell a=5.225 b=5.225 c=3.561 alpha=90.00 beta=90.00 gamma=90.00
Space group P4/mmm (No. 123)
Inequivalent atoms, fractional coordinates:
Cd 0.000 0.500 0.000 (multiplicity 2)
B 0.000 0.000 0.500 (multiplicity 1)
Os 0.500 0.500 0.500 (multiplicity 1)
Cl 0.000 0.000 0.000 (multiplicity 1)

Summary:
The uncorrected formation energy comes out at 1.83 eV per atom. The value obtained for the total magnetization is 0.154 μB per atom. The calculated volume is 97 Å³ per cell.

=====

Record 2
This record from Alexandria via LeMat-Bulk describes crystalline Rb2CdBCl6 at its relaxed geometry. The functional is PBE.

Unit cell a=7.016 b=7.016 c=10.119 alpha=90.00 beta=90.00 gamma=90.00
Space group I4/mmm (No. 139)
Inequivalent atoms, fractional coordinates:
Rb 0.000 0.500 0.250 (multiplicity 4)
Cd 0.000 0.000 0.000 (multiplicity 2)
B 0.000 0.000 0.500 (multiplicity 2)
Cl 0.000 0.000 0.269 (multiplicity 4)
Cl 0.222 0.222 0.500 (multiplicity 8)

Summary:
The uncorrected formation energy comes out at -0.96 eV per atom. The value obtained for the total magnetization is 0.000 μB per atom. The calculated volume is 498 Å³ per cell.

=====

Record 3
This record from Alexandria via LeMat-Bulk describes crystalline CdBS2Cl at its relaxed geometry. The functional is PBE.

Unit cell a=4.985 b=4.985 c=5.313 alpha=90.00 beta=90.00 gamma=90.00
Space group P4/mmm (No. 123)
Inequivalent atoms, fractional coordinates:
Cd 0.000 0.000 0.000 (multiplicity 1)
B 0.500 0.500 0.500 (multiplicity 1)
S 0.000 0.500 0.000 (multiplicity 2)
Cl 0.000 0.000 0.500 (multiplicity 1)

Summary:
The uncorrected formation energy comes out at 1.22 eV per atom. The value obtained for the total magnetization is 0.251 μB per atom. The calculated volume is 132 Å³ per cell. The distance to the lowest polymorph of the same formula is 843.7 meV per atom.

=====

Record 4
This record from Alexandria via LeMat-Bulk describes crystalline CdBSCl2 at its relaxed geometry. The functional is PBE.

Unit cell a=5.172 b=5.172 c=5.099 alpha=90.00 beta=90.00 gamma=90.00
Space group P4/mmm (No. 123)
Inequivalent atoms, fractional coordinates:
Cd 0.000 0.000 0.000 (multiplicity 1)
B 0.500 0.500 0.500 (multiplicity 1)
S 0.000 0.000 0.500 (multiplicity 1)
Cl 0.000 0.500 0.000 (multiplicity 2)

Summary:
The uncorrected formation energy comes out at 0.82 eV per atom. The value obtained for the total magnetization is 0.182 μB per atom. The calculated volume is 136 Å³ per cell. The distance to the lowest polymorph of the same formula is 607.0 meV per atom.

=====

Record 5
This record from Alexandria via LeMat-Bulk describes crystalline CdBSCl2 at its relaxed geometry. The functional is PBE.

Unit cell a=4.311 b=4.311 c=4.630 alpha=90.00 beta=90.00 gamma=90.00
Space group P4/mmm (No. 123)
Inequivalent atoms, fractional coordinates:
Cd 0.000 0.000 0.000 (multiplicity 1)
B 0.500 0.500 0.500 (multiplicity 1)
S 0.500 0.500 0.000 (multiplicity 1)
Cl 0.000 0.500 0.500 (multiplicity 2)

Summary:
The uncorrected formation energy comes out at 0.21 eV per atom. The value obtained for the total magnetization is 0.000 μB per atom. The calculated volume is 86 Å³ per cell. The distance to the lowest polymorph of the same formula is 0.0 meV per atom.

=====

Record 6
This record from Alexandria via LeMat-Bulk describes crystalline CdBS2Cl at its relaxed geometry. The functional is PBE.

Unit cell a=4.141 b=4.141 c=5.016 alpha=90.00 beta=90.00 gamma=90.00
Space group P4/mmm (No. 123)
Inequivalent atoms, fractional coordinates:
Cd 0.000 0.000 0.000 (multiplicity 1)
B 0.500 0.500 0.500 (multiplicity 1)
S 0.000 0.500 0.500 (multiplicity 2)
Cl 0.500 0.500 0.000 (multiplicity 1)

Summary:
The uncorrected formation energy comes out at 0.38 eV per atom. The value obtained for the total magnetization is 0.000 μB per atom. The calculated volume is 86 Å³ per cell. The distance to the lowest polymorph of the same formula is 0.0 meV per atom.